A relaxed structure of V2P4PbO14. Source: the Alexandria database, functional GGA+U.

The structure in extended XYZ format:
```
21
Lattice="4.8973 -0.0270 0.0054 -1.9867 -6.9180 -0.0207 -0.4106 0.0399 -8.0878" Properties=species:S:1:pos:R:3 pbc="T T T"
O 3.7409 -0.6500 -1.6872
O 2.9449 -3.0442 -1.2353
O 0.5723 -5.2639 -4.9737
O 1.9277 -1.6412 -3.1294
O -1.2304 -5.4307 -1.1366
O 0.1583 -3.7791 -2.4247
O -0.4449 -3.8609 -6.8678
O -0.2648 -2.3827 -4.8270
O 3.7304 -1.4745 -6.9665
O 2.3418 -3.1260 -5.6784
O 1.0235 -5.7359 -7.4774
O 1.4765 -1.1693 -0.6257
O -1.2408 -6.2551 -6.4159
O 2.7648 -4.5224 -3.2761
V 0.0000 0.0000 0.0000
V 1.2500 -3.4526 -4.0515
P 3.7415 -2.6865 -6.0729
P 0.0149 -5.3528 -6.4236
P 2.4852 -1.5523 -1.6794
P -1.2415 -4.2187 -2.0301
Pb -0.2053 0.0199 -4.0439
```

Computed properties:
As for the space group: P-1, No. 2. The final energy is -7.38 eV/atom.